Entry from Alexandria via LeMat-Bulk: crystalline Mg15CdPb4 at its relaxed geometry (PBE).

a b c (Å): 4.4925 4.4925 23.3154
angles (deg): 90.00 90.00 90.00
With the nearest neighbours (Å) after each atom.
Sites, in units of the cell vectors:
Mg: 0.0000 0.0000 0.0000  8 Mg 3.16, 4 Cd 3.18
Mg: 0.0000 0.0000 0.1972  4 Pb 3.18, 8 Mg 3.26-3.27
Mg: 0.0000 0.0000 0.3990  4 Pb 3.18, 8 Mg 3.24-3.25
Mg: 0.0000 0.0000 0.6010  4 Pb 3.18, 8 Mg 3.24-3.25
Mg: 0.0000 0.0000 0.8028  4 Pb 3.18, 8 Mg 3.26-3.27
Mg: 0.0000 0.5000 0.0956  2 Cd 3.16, 8 Mg 3.16-3.27, 2 Pb 3.27
Mg: 0.0000 0.5000 0.2986  8 Mg 3.18-3.26, 4 Pb 3.26
Mg: 0.0000 0.5000 0.5000  8 Mg 3.18-3.25, 4 Pb 3.24
Mg: 0.0000 0.5000 0.7014  8 Mg 3.18-3.26, 4 Pb 3.26
Mg: 0.0000 0.5000 0.9044  2 Cd 3.16, 8 Mg 3.16-3.27, 2 Pb 3.27
Mg: 0.5000 0.0000 0.0956  2 Cd 3.16, 8 Mg 3.16-3.27, 2 Pb 3.27
Mg: 0.5000 0.0000 0.2986  8 Mg 3.18-3.26, 4 Pb 3.26
Mg: 0.5000 0.0000 0.5000  8 Mg 3.18-3.25, 4 Pb 3.24
Mg: 0.5000 0.0000 0.7014  8 Mg 3.18-3.26, 4 Pb 3.26
Mg: 0.5000 0.0000 0.9044  2 Cd 3.16, 8 Mg 3.16-3.27, 2 Pb 3.27
Cd: 0.5000 0.5000 0.0000  12 Mg 3.16-3.18
Pb: 0.5000 0.5000 0.1974  12 Mg 3.18-3.27
Pb: 0.5000 0.5000 0.3998  12 Mg 3.18-3.26
Pb: 0.5000 0.5000 0.6002  12 Mg 3.18-3.26
Pb: 0.5000 0.5000 0.8026  12 Mg 3.18-3.27

Results
E_form: -43 meV/atom
symmetry: P4/mmm (123)
crystal system: tetragonal
E_tot: -40.5 eV for the cell shown